[1]
B3RuI | Alexandria via LeMat-Bulk | meta-GGA SCAN | PBEsol geometry; final energy = -17.40 eV per atom; raw formation energy = 1.370 eV/atom
1.0
4.205 0.000 0.000
0.000 4.205 0.000
0.000 0.000 4.205
I Ru B
1 1 3
Direct
0.500 0.500 0.500
0.000 0.000 0.000
0.000 0.500 0.000
0.000 0.000 0.500
0.500 0.000 0.000

=====

[2]
BS3I | Alexandria via LeMat-Bulk | meta-GGA SCAN | PBEsol geometry; final energy = -12.82 eV per atom; raw formation energy = 1.787 eV/atom
1.0
-0.021 1.671 4.736
-4.908 -1.011 0.336
1.066 -4.627 1.637
I S B
1 3 1
Direct
0.000 0.000 0.000
0.000 0.500 0.000
0.000 0.000 0.500
0.500 0.000 0.000
0.500 0.500 0.500

=====

[3]
BSI3 | Alexandria via LeMat-Bulk | meta-GGA SCAN | PBEsol geometry; final energy = -24.26 eV per atom; raw formation energy = 1.192 eV/atom
1.0
5.409 0.000 0.000
0.000 5.409 0.000
0.000 0.000 5.409
I S B
3 1 1
Direct
0.000 0.500 0.000
0.000 0.000 0.500
0.500 0.000 0.000
0.000 0.000 0.000
0.500 0.500 0.500

=====

[4]
BSb2SI | Alexandria via LeMat-Bulk | meta-GGA SCAN | PBEsol geometry; final energy = -24.10 eV per atom; raw formation energy = 1.562 eV/atom
1.0
5.184 0.000 0.000
0.000 5.184 0.000
0.000 0.000 5.197
I Sb S B
1 2 1 1
Direct
0.000 0.000 0.500
0.000 0.500 0.000
0.500 0.000 0.000
0.000 0.000 0.000
0.500 0.500 0.500

=====

[5]
TlBS2I | Alexandria via LeMat-Bulk | meta-GGA SCAN | PBEsol geometry; final energy = -25.82 eV per atom; raw formation energy = 1.334 eV/atom
1.0
-0.608 4.201 0.880
-5.184 -0.635 -0.551
-0.405 -1.130 5.113
I Tl B S
1 1 1 2
Direct
0.500 0.500 0.500
0.000 0.000 0.000
0.500 0.000 0.000
0.000 0.000 0.500
0.000 0.500 0.000

=====

[6]
SiBSb2I | Alexandria via LeMat-Bulk | meta-GGA SCAN | PBEsol geometry; final energy = -24.56 eV per atom; raw formation energy = 1.181 eV/atom
1.0
4.893 0.000 0.000
0.000 4.770 0.000
0.000 0.000 4.770
I Sb Si B
1 2 1 1
Direct
0.500 0.000 0.000
0.000 0.000 0.500
0.000 0.500 0.000
0.500 0.500 0.500
0.000 0.000 0.000

=====

Question: Among the records above, which one has the highest raw formation energy?
Answer: BS3I

=====

Question: What is the final energy in the second record?
Answer: -12.82 eV per atom